Crystalline LuScCd2 at its relaxed geometry. Source: Alexandria, functional PBE-GGA.

Results
magnetization = 0.00 Bohr magnetons per cell
space group = P4/mmm
total DFT energy (no corrections) = -3.463 eV/atom
polymorph energy (0 for the lowest one) = 0.0 meV/atom
ΔH_f (0 K) = -0.29 eV/atom

Unit cell a=3.6008 b=3.6008 c=7.2244 alpha=90.00 beta=90.00 gamma=90.00
Sites, in units of the cell vectors:
1 Cd 0.0000 0.0000 0.7627
2 Cd 0.0000 0.0000 0.2373
3 Lu 0.5000 0.5000 0.5000
4 Sc 0.5000 0.5000 0.0000

---

Crystalline LuScCd at its relaxed geometry. Source: Alexandria, functional PBE-GGA.

Results
magnetization = 0.00 Bohr magnetons per cell
space group = P3m1
total DFT energy (no corrections) = -3.992 eV/atom
polymorph energy (0 for the lowest one) = 105.6 meV/atom
ΔH_f (0 K) = -0.07 eV/atom

Unit cell a=3.3547 b=5.0747 c=5.0747 alpha=120.00 beta=90.00 gamma=90.00
Sites, in units of the cell vectors:
1 Sc 0.5815 0.6667 0.3333
2 Lu 0.0275 0.0000 0.0000
3 Cd 0.3909 0.3333 0.6667

---

Crystalline LuScCdSn at its relaxed geometry. Source: Alexandria, functional PBE-GGA.

Results
magnetization = 0.00 Bohr magnetons per cell
space group = F-43m
total DFT energy (no corrections) = -4.357 eV/atom
ΔH_f (0 K) = -0.41 eV/atom

Unit cell a=5.1094 b=5.1094 c=5.1094 alpha=60.00 beta=60.00 gamma=60.00
Sites, in units of the cell vectors:
1 Sn 0.2500 0.2500 0.2500
2 Cd 0.7500 0.7500 0.7500
3 Lu 0.5000 0.5000 0.5000
4 Sc 0.0000 0.0000 0.0000

---

Crystalline LuThScCd at its relaxed geometry. Source: Alexandria, functional PBE-GGA.

Results
magnetization = 0.00 Bohr magnetons per cell
space group = F-43m
total DFT energy (no corrections) = -4.741 eV/atom
ΔH_f (0 K) = 0.06 eV/atom

Unit cell a=5.3390 b=5.3390 c=5.3390 alpha=60.00 beta=60.00 gamma=60.00
Sites, in units of the cell vectors:
1 Cd 0.5000 0.5000 0.5000
2 Lu 0.0000 0.0000 0.0000
3 Th 0.2500 0.2500 0.2500
4 Sc 0.7500 0.7500 0.7500